Crystalline Mo3Os3Ru at its relaxed geometry, computed with GGA-PBE.

CIF file:
```
data_Mo3Os3Ru
_symmetry_space_group_name_H-M 'C m m m'
_symmetry_Int_Tables_number 65
_symmetry_space_group_name_Hall '-C 2 2'
_cell_length_a 8.5740
_cell_length_b 8.5841
_cell_length_c 6.0001
_cell_angle_alpha 90.00
_cell_angle_beta 90.00
_cell_angle_gamma 90.00
loop_
_atom_site_label
_atom_site_type_symbol
_atom_site_fract_x
_atom_site_fract_y
_atom_site_fract_z
Mo1 Mo 0.0000 0.0000 0.2483
Mo2 Mo 0.2500 0.2500 0.2505
Os1 Os 0.0000 0.2752 0.0000
Os2 Os 0.2187 0.5000 0.0000
Os3 Os 0.2286 0.5000 0.5000
Ru1 Ru 0.0000 0.2809 0.5000
```

Output
The value obtained for the formation energy is 0.32 eV per atom. For the magnetic moment, the calculation gives 0.00 μB/atom.